16
Lattice="7.7838 0.0000 0.0000 0.0000 7.7838 0.0000 -3.8919 -3.8919 6.7332" Properties=species:S:1:pos:R:3 comment="AcY2Se5 (GGA-PBE, optimized geometry)" n_ef_per_ev_fu=6.24 e_form_raw_mev_per_atom=-1738 sg="No. 140" pbc="T T T"
Se 1.1770 2.7149 4.8238
Se 5.0689 6.6068 1.9094
Se 2.7149 -1.1770 4.8238
Y 2.6718 6.5637 0.0000
Se -2.7149 1.1770 4.8238
Se 0.0000 0.0000 0.0000
Se 1.1770 5.0689 1.9094
Y 1.2201 2.6718 0.0000
Ac 0.0000 0.0000 3.3666
Se 3.8919 3.8919 0.0000
Ac 3.8919 3.8919 3.3666
Se 2.7149 1.1770 1.9094
Y 5.1121 1.2202 0.0000
Se 6.6068 2.7149 1.9094
Se -1.1770 -2.7149 4.8238
Y 6.5637 5.1121 0.0000